(1)
DFT (PBE) results for crystalline Mg3CdHg4 at its relaxed geometry.

Cell: 3.710 4.855 9.750 Å, 90.00 90.00 90.00°
Element x y z (fractional)
1 Hg 0.000 0.000 0.500
2 Hg 0.000 0.500 0.740
3 Hg 0.000 0.000 0.000
4 Hg 0.000 0.500 0.260
5 Mg 0.500 0.000 0.752
6 Mg 0.500 0.000 0.248
7 Mg 0.500 0.500 0.500
8 Cd 0.500 0.500 0.000

D(E_F) = 3.633 states/eV/cell
DFT formation energy = -0.149 eV per atom
theoretical density = 9.338 g/cm3


(2)
DFT (PBE) results for crystalline InCuSe2 at its relaxed geometry.

Cell: 3.811 7.252 3.679 Å, 90.00 90.00 90.00°
Element x y z (fractional)
1 In 0.000 0.500 0.500
2 Se 0.500 0.500 0.000
3 Se 0.000 0.000 0.000
4 Cu 0.500 0.000 0.500

D(E_F) = 1.136 states/eV/cell
theoretical density = 5.492 g/cm3
E_form (uncorrected) = 58 meV/atom


(3)
DFT (PBE) results for crystalline TbPuAu at its relaxed geometry.

Cell: 3.604 3.604 6.627 Å, 105.78 105.78 90.00°
Element x y z (fractional)
1 Pu 0.016 0.016 0.033
2 Tb 0.309 0.309 0.617
3 Au 0.675 0.675 0.350

D(E_F) = 8.847 states/eV/cell
DFT formation energy = -0.327 eV per atom
theoretical density = 12.536 g/cm3
polymorph energy (0 for the lowest one) = 0 meV per atom


(4)
DFT (PBE) results for crystalline Sr4Ac3Se8 at its relaxed geometry.

Cell: 8.902 8.932 8.932 Å, 89.65 120.26 120.26°
Element x y z (fractional)
1 Se 0.500 0.751 0.249
2 Se 0.500 0.249 0.751
3 Se 0.497 0.249 0.249
4 Se 0.995 0.753 0.753
5 Se 0.000 0.753 0.247
6 Se 0.503 0.751 0.751
7 Se 0.005 0.247 0.247
8 Se 0.000 0.247 0.753
9 Ac 0.500 0.000 0.500
10 Ac 0.500 0.500 0.000
11 Ac 0.500 0.500 0.500
12 Sr 0.500 0.000 0.000
13 Sr 0.000 0.000 0.000
14 Sr 0.000 0.000 0.500
15 Sr 0.000 0.500 0.000

D(E_F) = 2.884 states/eV/cell
theoretical density = 5.525 g/cm3
E_form (uncorrected) = -1976 meV/atom


(5)
DFT (PBE) results for crystalline YTcP2F at its relaxed geometry.

Cell: 4.688 3.888 4.688 Å, 90.00 90.00 90.00°
Element x y z (fractional)
1 P 0.500 0.000 0.000
2 P 0.000 0.000 0.500
3 Tc 0.000 0.500 0.000
4 Y 0.500 0.500 0.500
5 F 0.000 0.000 0.000

D(E_F) = 3.722 states/eV/cell
theoretical density = 5.206 g/cm3
E_form (uncorrected) = -47 meV/atom


(6)
DFT (PBE) results for crystalline ErTaCd2O6 at its relaxed geometry.

Cell: 5.600 5.748 8.148 Å, 90.00 90.37 90.00°
Element x y z (fractional)
1 Ta 0.500 0.000 0.500
2 Ta 0.000 0.500 0.000
3 O 0.298 0.676 0.054
4 O 0.391 0.944 0.735
5 O 0.831 0.795 0.936
6 O 0.169 0.205 0.064
7 O 0.798 0.824 0.554
8 O 0.202 0.176 0.446
9 O 0.331 0.705 0.436
10 O 0.891 0.556 0.235
11 O 0.669 0.295 0.564
12 O 0.609 0.056 0.265
13 O 0.109 0.444 0.765
14 O 0.702 0.324 0.946
15 Er 0.500 0.000 0.000
16 Er 0.000 0.500 0.500
17 Cd 0.494 0.458 0.249
18 Cd 0.994 0.042 0.749
19 Cd 0.006 0.958 0.251
20 Cd 0.506 0.542 0.751

D(E_F) = 0.000 states/eV/cell
theoretical density = 8.471 g/cm3
E_form (uncorrected) = -2336 meV/atom


(7)
DFT (PBE) results for crystalline Sc2VSbH at its relaxed geometry.

Cell: 4.480 4.480 3.975 Å, 90.00 90.00 90.00°
Element x y z (fractional)
1 Sc 0.000 0.500 0.000
2 Sc 0.500 0.000 0.000
3 H 0.000 0.000 0.000
4 Sb 0.500 0.500 0.500
5 V 0.000 0.000 0.500

D(E_F) = 2.672 states/eV/cell
theoretical density = 5.487 g/cm3
calculated total energy = -6.25 eV per atom


(8)
DFT (PBE) results for crystalline KTbS2 at its relaxed geometry.

Cell: 4.071 4.071 7.742 Å, 74.76 74.76 60.00°
Element x y z (fractional)
1 Tb 0.000 0.000 0.000
2 K 0.500 0.500 0.500
3 S 0.734 0.734 0.798
4 S 0.266 0.266 0.202

D(E_F) = 0.000 states/eV/cell
theoretical density = 4.112 g/cm3
E_form (uncorrected) = -1888 meV/atom